Entry from Alexandria via LeMat-Bulk: crystalline Rb3S2O7 at its relaxed geometry (PBE).

space group: Cmmm, No. 65
raw formation energy: -0.685 eV/atom
total moment: 0.00 μB/cell

Cell: 3.953 3.966 11.711 Å, 99.75 90.00 90.00°
Fractional positions:
O  0.500  0.090  0.179
S  0.000  0.083  0.166
O  0.500  0.910  0.821
O  0.000  0.410  0.821
Rb  0.500  0.500  0.000
O  0.000  0.000  0.000
O  0.000  0.851  0.701
Rb  0.500  0.674  0.347
O  0.000  0.590  0.179
O  0.000  0.149  0.299
S  0.000  0.917  0.834
Rb  0.500  0.326  0.653